No. 1
Computed, not measured: TmLu2Cu4Si4 after structural relaxation at the GGA-PBE level of DFT.

a b c (Å): 7.733 7.733 7.733
angles (deg): 149.55 130.51 59.22
Fractional positions:
Tm: 0.000 0.000 0.000
Lu: 0.372 0.872 0.500
Lu: 0.628 0.128 0.500
Cu: 0.023 0.330 0.693
Cu: 0.362 0.670 0.693
Cu: 0.638 0.330 0.307
Cu: 0.977 0.670 0.307
Si: 0.216 0.216 0.000
Si: 0.314 0.500 0.814
Si: 0.686 0.500 0.186
Si: 0.784 0.784 0.000

=====

No. 2
Computed, not measured: Tm2LuCu4Si4 after structural relaxation at the GGA-PBE level of DFT.

a b c (Å): 7.758 7.758 7.758
angles (deg): 149.53 130.63 59.13
Fractional positions:
Tm: 0.128 0.128 0.000
Tm: 0.872 0.872 0.000
Lu: 0.500 0.000 0.500
Cu: 0.138 0.330 0.808
Cu: 0.477 0.670 0.808
Cu: 0.523 0.330 0.192
Cu: 0.862 0.670 0.192
Si: 0.187 0.500 0.687
Si: 0.284 0.784 0.500
Si: 0.716 0.216 0.500
Si: 0.813 0.500 0.313

=====

No. 3
Computed, not measured: YLu2Cu4Si4 after structural relaxation at the GGA-PBE level of DFT.

a b c (Å): 7.767 7.767 7.767
angles (deg): 149.65 130.44 59.23
Fractional positions:
Y: 0.000 0.000 0.000
Lu: 0.372 0.872 0.500
Lu: 0.628 0.128 0.500
Cu: 0.023 0.330 0.693
Cu: 0.363 0.670 0.693
Cu: 0.637 0.330 0.307
Cu: 0.977 0.670 0.307
Si: 0.217 0.217 0.000
Si: 0.316 0.500 0.816
Si: 0.684 0.500 0.184
Si: 0.783 0.783 0.000

=====

No. 4
Computed, not measured: Lu2ZrCu4Si4 after structural relaxation at the GGA-PBE level of DFT.

a b c (Å): 7.637 7.637 7.637
angles (deg): 149.39 130.50 59.33
Fractional positions:
Lu: 0.128 0.128 0.000
Lu: 0.872 0.872 0.000
Zr: 0.500 0.000 0.500
Cu: 0.139 0.331 0.808
Cu: 0.478 0.669 0.808
Cu: 0.522 0.331 0.192
Cu: 0.861 0.669 0.192
Si: 0.193 0.500 0.693
Si: 0.285 0.785 0.500
Si: 0.715 0.215 0.500
Si: 0.807 0.500 0.307

=====

no.,E (eV/cell)
1,-57.0
2,-57.0
3,-59.1
4,-60.9